(1)
## Pr2Co3Ge4 (PBE-GGA)

Data for Pr2Co3Ge4 after structural relaxation.

- Calculated formation energy: -0.429 eV per atom
- Total DFT energy (no corrections): -212.84 eV for the cell shown

Lattice parameters (Å, degrees): 5.416 9.646 12.245 90.00 90.00 90.00
Space group Fmmm (No. 69)
Symmetry-distinct sites (fractional):
Pr (0.000, 0.000, 0.134) x8
Co (0.000, 0.000, 0.500) x4
Co (0.250, 0.250, 0.000) x8
Ge (0.000, 0.173, 0.351) x16



(2)
## PrCo2Ge4 (PBE-GGA)

Data for PrCo2Ge4 after structural relaxation.

- Calculated formation energy: -0.403 eV per atom
- Total DFT energy (no corrections): -161.13 eV for the cell shown

Lattice parameters (Å, degrees): 17.378 4.116 6.525 90.00 90.00 90.00
Space group Pnma (No. 62)
Symmetry-distinct sites (fractional):
Pr (0.140, 0.250, 0.017) x4
Co (0.033, 0.750, 0.744) x4
Co (0.209, 0.250, 0.500) x4
Ge (0.026, 0.750, 0.142) x4
Ge (0.068, 0.250, 0.520) x4
Ge (0.178, 0.750, 0.697) x4
Ge (0.202, 0.750, 0.296) x4



(3)
## Pr2CoGe3 (PBE-GGA)

Data for Pr2CoGe3 after structural relaxation.

- Calculated formation energy: -0.678 eV per atom
- Total DFT energy (no corrections): -276.69 eV for the cell shown
- Energy above the most stable polymorph in this dataset: 0 meV per atom

Lattice parameters (Å, degrees): 8.416 8.533 14.511 90.00 90.00 90.00
Space group Fmmm (No. 69)
Symmetry-distinct sites (fractional):
Pr (0.000, 0.249, 0.000) x8
Pr (0.250, 0.250, 0.250) x8
Co (0.000, 0.000, 0.334) x8
Ge (0.000, 0.000, 0.174) x8
Ge (0.238, 0.000, 0.413) x16



(4)
## Pr2CoGe6 (PBE-GGA)

Data for Pr2CoGe6 after structural relaxation.

- Calculated formation energy: -0.428 eV per atom
- Total DFT energy (no corrections): -48.22 eV for the cell shown

Lattice parameters (Å, degrees): 6.1831 6.1831 5.3480 90.00 90.00 120.00
Space group P-3m1 (No. 164)
Symmetry-distinct sites (fractional):
Pr (0.3333, 0.6667, 0.1776) x2
Co (0.0000, 0.0000, 0.0000) x1
Ge (0.1683, 0.3366, 0.6939) x6



Number 1: theoretical density 7.78 g cm⁻³. Number 2: theoretical density 7.82 g cm⁻³. Number 3: theoretical density 7.12 g cm⁻³. Number 4: theoretical density 7.28 g cm⁻³.